DFT (SCAN) results for a crystal of ScAlOs relaxed with PBEsol.

Geometry as POSCAR:
```
ScAlOs
1.0
-2.7691 1.4739 0.6647
-1.6146 -2.4518 -1.2899
2.0679 -1.6316 4.4983
Sc Os Al
1 1 1
Direct
0.3225 0.3225 0.6450 Sc
0.6554 0.6554 0.3108 Os
0.0221 0.0221 0.0442 Al
```

Symmetry: I4mm
Energy relative to the elements: -0.672 eV per atom
Electronic total energy: -95.88 eV per formula unit
Total magnetic moment: 0.00 μB/f.u.